Record 1
# YCdAs2Se

A relaxed structure of YCdAs2Se (GGA-PBE, Alexandria).

Cell lengths 5.0630, 5.0630, 5.2180 Å; angles 90.00, 90.00, 90.00 degrees
With the nearest neighbours (Å) after each atom.
Space group P4/mmm (No. 123)
Inequivalent atoms, fractional coordinates:
Y 0.0000 0.0000 0.0000 [1 per cell]  4 Se 3.58, 8 As 3.64
Cd 0.5000 0.5000 0.5000 [1 per cell]  4 As 2.53, 2 Se 2.61
As 0.0000 0.5000 0.5000 [2 per cell]  2 Cd 2.53
Se 0.5000 0.5000 0.0000 [1 per cell]  2 Cd 2.61

Calculated values
As for the raw formation energy: 0.1538 eV per atom. For the energy, the calculation gives -3.879 eV per atom. The calculation puts the magnetic moment at 0.0 μB per cell.

---

Record 2
# RbGaC

A relaxed structure of RbGaC (GGA-PBE, Alexandria).

Cell lengths 6.6365, 3.8075, 11.8123 Å; angles 90.00, 90.00, 90.00 degrees
With the nearest neighbours (Å) after each atom.
Space group Pnma (No. 62)
Inequivalent atoms, fractional coordinates:
Rb 0.0870 0.2500 0.1514 [4 per cell]  2 C 3.10-3.31
Ga 0.0669 0.7500 0.4295 [4 per cell]  3 C 1.97-2.17
C 0.1424 0.2500 0.4296 [4 per cell]  3 Ga 1.97-2.17

Calculated values
The formation energy is 0.70 eV per atom. For the energy, the calculation gives -3.708 eV per atom. The calculation puts the magnetic moment at 0.0 μB per cell.

---

Record 3
# LuCuGePt

A relaxed structure of LuCuGePt (GGA-PBE, Alexandria).

Cell lengths 6.4977, 6.4977, 6.4977 Å; angles 90.00, 90.00, 90.00 degrees
With the nearest neighbours (Å) after each atom.
Space group F-43m (No. 216)
Inequivalent atoms, fractional coordinates:
Lu 0.0000 0.0000 0.0000 [4 per cell]  4 Cu 2.81, 4 Pt 2.81
Cu 0.2500 0.2500 0.7500 [4 per cell]  4 Ge 2.81, 4 Lu 2.81
Ge 0.0000 0.0000 0.5000 [4 per cell]  4 Cu 2.81, 4 Pt 2.81
Pt 0.2500 0.2500 0.2500 [4 per cell]  4 Ge 2.81, 4 Lu 2.81

Calculated values
The formation energy is -0.60 eV per atom. For the energy, the calculation gives -5.415 eV per atom. The calculation puts the magnetic moment at 0.0 μB per cell.

---

Record 4
# GaSbI2N

A relaxed structure of GaSbI2N (GGA-PBE, Alexandria).

Cell lengths 5.7900, 5.7900, 5.4550 Å; angles 90.00, 90.00, 90.00 degrees
With the nearest neighbours (Å) after each atom.
Space group P4/mmm (No. 123)
Inequivalent atoms, fractional coordinates:
Ga 0.0000 0.0000 0.0000 [1 per cell]  2 Sb 2.73, 4 I 2.90
Sb 0.0000 0.0000 0.5000 [1 per cell]  2 Ga 2.73
I 0.0000 0.5000 0.0000 [2 per cell]  2 Ga 2.90
N 0.5000 0.5000 0.5000 [1 per cell]  8 I 3.98, 4 Sb 4.09

Calculated values
As for the raw formation energy: 1.1848 eV per atom. For the energy, the calculation gives -2.530 eV per atom. The calculation puts the magnetic moment at 1.7 μB per cell.

---

Record 5
# Sm6Ga2C

A relaxed structure of Sm6Ga2C (GGA-PBE, Alexandria).

Cell lengths 6.4887, 8.3367, 10.7059 Å; angles 90.00, 121.26, 90.00 degrees
With the nearest neighbours (Å) after each atom.
Space group P2_1/c (No. 14)
Inequivalent atoms, fractional coordinates:
Sm 0.1226 0.1431 0.4501 [4 per cell]  1 C 2.52
Sm 0.3162 0.7188 0.4414 [4 per cell]  1 C 2.56
Sm 0.3507 0.0399 0.2380 [4 per cell]  1 C 2.47
Ga 0.1965 0.1124 0.7701 [4 per cell]  8 Sm 3.01-3.24
C 0.5000 0.0000 0.5000 [2 per cell]  6 Sm 2.47-2.56

Calculated values
The formation energy is -0.30 eV per atom. For the energy, the calculation gives -5.145 eV per atom. The calculation puts the magnetic moment at 0.0 μB per cell.

---

Record 6
# Ac2RuI

A relaxed structure of Ac2RuI (GGA-PBE, Alexandria).

Cell lengths 7.8309, 18.2850, 4.1043 Å; angles 90.00, 90.00, 90.00 degrees
With the nearest neighbours (Å) after each atom.
Space group Cmcm (No. 63)
Inequivalent atoms, fractional coordinates:
Ac 0.2370 0.1014 0.2500 [8 per cell]  2 Ru 2.91
Ru 0.0000 0.0513 0.7500 [4 per cell]  2 Ru 2.78, 4 Ac 2.91
I 0.0000 0.2736 0.2500 [4 per cell]  6 Ac 3.66-3.70

Calculated values
As for the raw formation energy: -0.5221 eV per atom. For the energy, the calculation gives -5.283 eV per atom. The calculation puts the magnetic moment at 0.0 μB per cell.

---

Record 7
# Tm7CdGa4

A relaxed structure of Tm7CdGa4 (GGA-PBE, Alexandria).

Cell lengths 13.5575, 5.5258, 9.8174 Å; angles 90.00, 124.88, 90.00 degrees
With the nearest neighbours (Å) after each atom.
Space group C2/m (No. 12)
Inequivalent atoms, fractional coordinates:
Tm 0.0000 0.0000 0.0000 [2 per cell]  2 Cd 2.76, 4 Ga 2.81-2.88
Tm 0.0612 0.5000 0.3700 [4 per cell]  3 Ga 2.88-3.07, 1 Tm 3.10, 1 Cd 3.23
Tm 0.1982 0.0000 0.6380 [4 per cell]  4 Ga 2.79-3.06
Tm 0.2156 0.5000 0.8879 [4 per cell]  4 Ga 3.05-3.30, 4 Tm 3.10-3.35
Cd 0.0000 0.5000 0.0000 [2 per cell]  2 Tm 2.76
Ga 0.0541 0.0000 0.7563 [4 per cell]  5 Tm 2.79-3.08, 1 Ga 2.96
Ga 0.1955 0.0000 0.3361 [4 per cell]  6 Tm 2.81-3.06, 1 Ga 2.96

Calculated values
The formation energy is -0.22 eV per atom. For the energy, the calculation gives -3.912 eV per atom. The calculation puts the magnetic moment at 0.0 μB per cell.

---

Record 8
# CaTh2ReN5

A relaxed structure of CaTh2ReN5 (GGA-PBE, Alexandria).

Cell lengths 6.8744, 6.8744, 11.6087 Å; angles 90.00, 90.00, 90.00 degrees
With the nearest neighbours (Å) after each atom.
Space group I4/mcm (No. 140)
Inequivalent atoms, fractional coordinates:
Ca 0.0000 0.0000 0.2500 [4 per cell]  10 N 2.90-2.93
Th 0.1804 0.3196 0.0000 [8 per cell]  4 N 2.37-2.52
Re 0.0000 0.5000 0.2500 [4 per cell]  4 N 1.88
N 0.0000 0.0000 0.0000 [4 per cell]  4 Th 2.52
N 0.1437 0.3563 0.3585 [16 per cell]  1 Re 1.88

Calculated values
As for the raw formation energy: -1.0496 eV per atom. For the energy, the calculation gives -8.929 eV per atom. The calculation puts the magnetic moment at 0.0 μB per cell.

---

Record 9
# BaPr2Pa

A relaxed structure of BaPr2Pa (GGA-PBE, Alexandria).

Cell lengths 3.6066, 3.6066, 38.4557 Å; angles 90.00, 90.00, 120.00 degrees
With the nearest neighbours (Å) after each atom.
Space group R-3m (No. 166, hexagonal axes)
Inequivalent atoms, fractional coordinates:
Ba 0.0000 0.0000 0.0000 [3 per cell]  6 Ba 3.61, 2 Pr 3.69
Pr 0.0000 0.0000 0.0958 [6 per cell]  3 Pa 3.43, 6 Pr 3.61, 1 Ba 3.69
Pa 0.0000 0.0000 0.5000 [3 per cell]  6 Pr 3.43, 6 Pa 3.61

Calculated values
The formation energy is 0.31 eV per atom. For the energy, the calculation gives -4.931 eV per atom. The calculation puts the magnetic moment at 0.0 μB per cell.

---

Record 10
# Zr6NbIn2

A relaxed structure of Zr6NbIn2 (GGA-PBE, Alexandria).

Cell lengths 8.0740, 8.0740, 3.6398 Å; angles 90.00, 90.00, 120.00 degrees
With the nearest neighbours (Å) after each atom.
Space group P-62m (No. 189)
Inequivalent atoms, fractional coordinates:
Zr 0.0000 0.2590 0.0000 [3 per cell]  2 Nb 2.77, 2 In 3.04
Zr 0.0000 0.6149 0.5000 [3 per cell]  4 In 3.10, 1 Nb 3.11, 6 Zr 3.29-3.40
Nb 0.0000 0.0000 0.5000 [1 per cell]  6 Zr 2.77
In 0.3333 0.6667 0.0000 [2 per cell]  9 Zr 3.04-3.10

Calculated values
The formation energy is -0.10 eV per atom. For the energy, the calculation gives -7.526 eV per atom. The calculation puts the magnetic moment at 0.0 μB per cell.

---

Record 11
# K2AgPSe4

A relaxed structure of K2AgPSe4 (GGA-PBE, Alexandria).

Cell lengths 6.5798, 12.9887, 24.7852 Å; angles 90.00, 90.00, 90.00 degrees
With the nearest neighbours (Å) after each atom.
Space group Fddd (No. 70, origin choice 2)
Inequivalent atoms, fractional coordinates:
K 0.1250 0.1250 0.3130 [16 per cell]  4 Se 3.44-3.52
Ag 0.1250 0.1250 0.1250 [8 per cell]  4 Se 2.72
P 0.1250 0.1250 0.6250 [8 per cell]  4 Se 2.24
Se 0.0700 0.2742 0.8233 [32 per cell]  1 P 2.24

Calculated values
As for the raw formation energy: -0.5664 eV per atom. For the energy, the calculation gives -3.616 eV per atom. The calculation puts the magnetic moment at 0.0 μB per cell.

---

Record 12
# ZnCrAgAu

A relaxed structure of ZnCrAgAu (GGA-PBE, Alexandria).

Cell lengths 6.4155, 6.4155, 6.4155 Å; angles 90.00, 90.00, 90.00 degrees
With the nearest neighbours (Å) after each atom.
Space group F-43m (No. 216)
Inequivalent atoms, fractional coordinates:
Zn 0.0000 0.0000 0.0000 [4 per cell]  4 Ag 2.78, 4 Au 2.78
Cr 0.0000 0.0000 0.5000 [4 per cell]  4 Ag 2.78, 4 Au 2.78
Ag 0.2500 0.2500 0.2500 [4 per cell]  4 Cr 2.78, 4 Zn 2.78
Au 0.2500 0.2500 0.7500 [4 per cell]  4 Cr 2.78, 4 Zn 2.78

Calculated values
The formation energy is 0.09 eV per atom. For the energy, the calculation gives -4.164 eV per atom. The calculation puts the magnetic moment at 15.4 μB per cell.

---

Record 13
# TbGd2Ga5O12

A relaxed structure of TbGd2Ga5O12 (GGA-PBE, Alexandria).

Cell lengths 12.4860, 12.4860, 12.4875 Å; angles 90.00, 90.00, 90.00 degrees
With the nearest neighbours (Å) after each atom.
Space group I4_122 (No. 98)
Inequivalent atoms, fractional coordinates:
Tb 0.1251 0.7500 0.1250 [8 per cell]  8 O 2.37-2.48
Gd 0.0000 0.0000 0.0000 [4 per cell]  8 O 2.39-2.49
Gd 0.0000 0.0000 0.5000 [4 per cell]  8 O 2.38-2.49
Gd 0.1250 0.2500 0.6250 [8 per cell]  8 O 2.39-2.49
Ga 0.0000 0.0000 0.2499 [8 per cell]  4 O 1.87
Ga 0.0007 0.7498 0.3747 [16 per cell]  6 O 2.02-2.03
Ga 0.1246 0.2500 0.1250 [8 per cell]  4 O 1.87
Ga 0.1258 0.7500 0.6250 [8 per cell]  4 O 1.87
O 0.0269 0.1959 0.0251 [16 per cell]  2 Ga 1.87-2.02
O 0.0283 0.6958 0.7252 [16 per cell]  2 Ga 1.87-2.02
O 0.0545 0.1002 0.3470 [16 per cell]  2 Ga 1.87-2.03
O 0.0558 0.6000 0.4031 [16 per cell]  2 Ga 1.87-2.02
O 0.1495 0.2216 0.8209 [16 per cell]  2 Ga 1.87-2.03
O 0.1506 0.7233 0.9301 [16 per cell]  2 Ga 1.87-2.02

Calculated values
As for the raw formation energy: -2.5261 eV per atom. For the energy, the calculation gives -7.897 eV per atom. The calculation puts the magnetic moment at 27.7 μB per cell.

---

Record 14
# Rb2ZrB2Se6

A relaxed structure of Rb2ZrB2Se6 (GGA-PBE, Alexandria).

Cell lengths 11.9359, 6.9899, 8.5615 Å; angles 90.00, 116.36, 90.00 degrees
With the nearest neighbours (Å) after each atom.
Space group C2/m (No. 12)
Inequivalent atoms, fractional coordinates:
Rb 0.2021 0.0000 0.1821 [4 per cell]  9 Se 3.46-3.80
Zr 0.0000 0.0000 0.5000 [2 per cell]  6 Se 2.66-2.75
B 0.0732 0.5000 0.3044 [4 per cell]  3 Se 1.95-1.97
Se 0.0261 0.2624 0.7528 [8 per cell]  1 B 1.97
Se 0.2477 0.0000 0.6289 [4 per cell]  1 B 1.95

Calculated values
As for the raw formation energy: -0.6806 eV per atom. For the energy, the calculation gives -4.748 eV per atom. The calculation puts the magnetic moment at 0.0 μB per cell.

---

Record 15
# In2RePb

A relaxed structure of In2RePb (GGA-PBE, Alexandria).

Cell lengths 3.0820, 3.3232, 9.0003 Å; angles 90.00, 90.00, 90.00 degrees
With the nearest neighbours (Å) after each atom.
Space group Pmmm (No. 47)
Inequivalent atoms, fractional coordinates:
In 0.0000 0.0000 0.1947 [2 per cell]  4 Re 2.86, 2 In 3.08
Re 0.5000 0.5000 0.0000 [1 per cell]  8 In 2.86, 2 Re 3.08
Pb 0.5000 0.5000 0.5000 [1 per cell]  4 Pb 3.08-3.32

Calculated values
The formation energy is 0.54 eV per atom. For the energy, the calculation gives -4.870 eV per atom. The calculation puts the magnetic moment at 0.0 μB per cell.

---

Record 16
# CsK3Rb4Cl8

A relaxed structure of CsK3Rb4Cl8 (GGA-PBE, Alexandria).

Cell lengths 9.3756, 9.3756, 22.9633 Å; angles 90.00, 90.00, 120.00 degrees
With the nearest neighbours (Å) after each atom.
Space group R-3m (No. 166, hexagonal axes)
Inequivalent atoms, fractional coordinates:
Cs 0.0000 0.0000 0.0000 [3 per cell]  6 Cl 3.38
K 0.0000 0.5000 0.0000 [9 per cell]  6 Cl 3.26-3.27
Rb 0.0000 0.0000 0.5000 [3 per cell]  6 Cl 3.25
Rb 0.0000 0.5000 0.5000 [9 per cell]  6 Cl 3.36-3.37
Cl 0.0000 0.0000 0.2534 [6 per cell]  3 K 3.27, 3 Rb 3.36
Cl 0.0120 0.5060 0.2513 [18 per cell]  3 Rb 3.25-3.37, 2 K 3.26, 1 Cs 3.38

Calculated values
As for the raw formation energy: -1.9415 eV per atom. For the energy, the calculation gives -3.366 eV per atom. The calculation puts the magnetic moment at 1.0 μB per cell.

---

Record 17
# CsZr2Ru

A relaxed structure of CsZr2Ru (GGA-PBE, Alexandria).

Cell lengths 6.8951, 6.8951, 14.0884 Å; angles 90.00, 90.00, 90.00 degrees
With the nearest neighbours (Å) after each atom.
Space group I4_1/amd (No. 141, origin choice 2)
Inequivalent atoms, fractional coordinates:
Cs 0.0000 0.2500 0.3750 [4 per cell]  8 Zr 4.24
Zr 0.0000 0.0000 0.0000 [8 per cell]  2 Ru 2.46
Ru 0.0000 0.2500 0.8750 [4 per cell]  4 Zr 2.46

Calculated values
The formation energy is 1.05 eV per atom. For the energy, the calculation gives -5.752 eV per atom. The calculation puts the magnetic moment at 0.0 μB per cell.

---

Record 18
# DyGe2Rh

A relaxed structure of DyGe2Rh (GGA-PBE, Alexandria).

Cell lengths 6.0051, 10.5163, 5.7399 Å; angles 90.00, 121.36, 90.00 degrees
With the nearest neighbours (Å) after each atom.
Space group C2/c (No. 15)
Inequivalent atoms, fractional coordinates:
Dy 0.0000 0.1254 0.2500 [4 per cell]  2 Rh 3.04, 8 Ge 3.07-3.26
Ge 0.0982 0.3929 0.0918 [8 per cell]  2 Rh 2.40-2.51, 2 Ge 2.51-2.63
Rh 0.0000 0.2201 0.7500 [4 per cell]  4 Ge 2.40-2.51

Calculated values
The formation energy is -0.79 eV per atom. For the energy, the calculation gives -6.082 eV per atom. The calculation puts the magnetic moment at 0.0 μB per cell.

---

Record 19
# HfMg3

A relaxed structure of HfMg3 (GGA-PBE, Alexandria).

Cell lengths 3.0223, 3.0223, 74.7452 Å; angles 90.00, 90.00, 120.00 degrees
With the nearest neighbours (Å) after each atom.
Space group R-3m (No. 166, hexagonal axes)
Inequivalent atoms, fractional coordinates:
Hf 0.0000 0.0000 0.0000 [3 per cell]  6 Hf 3.02
Mg 0.0000 0.0000 0.2032 [6 per cell]  9 Mg 3.02-3.24
Mg 0.0000 0.0000 0.5000 [3 per cell]  12 Mg 3.02-3.24

Calculated values
The formation energy is 0.70 eV per atom. For the energy, the calculation gives -2.986 eV per atom. The calculation puts the magnetic moment at 0.0 μB per cell.